Record 1
{
  "formula": "GaTcTe2N",
  "functional": "PBE",
  "state": "relaxed",
  "sg": "P4/mmm",
  "e_above_lowest_polymorph_ev_per_atom": 0.867,
  "dos_at_fermi_per_ev_atom": 0.788,
  "cell": [[5.589, 0.000, 0.000], [0.000, 5.589, 0.000], [0.000, 0.000, 3.510]],
  "species": ["Ga", "Tc", "Te", "Te", "N"],
  "frac_coords": [[0.000, 0.000, 0.000], [0.500, 0.500, 0.500], [0.000, 0.500, 0.000], [0.500, 0.000, 0.000], [0.000, 0.000, 0.500]]
}

=====

Record 2
{
  "formula": "GaTcTe2N",
  "functional": "PBE",
  "state": "relaxed",
  "sg": "P4/mmm",
  "e_above_lowest_polymorph_ev_per_atom": 0.000,
  "dos_at_fermi_per_ev_atom": 0.546,
  "cell": [[5.500, 0.000, 0.000], [0.000, 5.500, 0.000], [0.000, 0.000, 3.701]],
  "species": ["Ga", "Tc", "Te", "Te", "N"],
  "frac_coords": [[0.000, 0.000, 0.000], [0.500, 0.500, 0.500], [0.000, 0.500, 0.500], [0.500, 0.000, 0.500], [0.500, 0.500, 0.000]]
}

=====

Record 3
{
  "formula": "GaTcTeN2",
  "functional": "PBE",
  "state": "relaxed",
  "sg": "P4/mmm",
  "e_above_lowest_polymorph_ev_per_atom": 0.000,
  "dos_at_fermi_per_ev_atom": 0.670,
  "cell": [[3.907, 0.000, 0.000], [0.000, 3.907, 0.000], [0.000, 0.000, 5.712]],
  "species": ["Ga", "Tc", "Te", "N", "N"],
  "frac_coords": [[0.000, 0.000, 0.000], [0.500, 0.500, 0.500], [0.500, 0.500, 0.000], [0.000, 0.500, 0.500], [0.500, 0.000, 0.500]]
}

=====

Record 4
{
  "formula": "GaTcTeN2",
  "functional": "PBE",
  "state": "relaxed",
  "sg": "P4/mmm",
  "e_above_lowest_polymorph_ev_per_atom": 1.092,
  "dos_at_fermi_per_ev_atom": 0.830,
  "cell": [[3.900, 0.000, 0.000], [0.000, 3.900, 0.000], [0.000, 0.000, 6.116]],
  "species": ["Ga", "Tc", "Te", "N", "N"],
  "frac_coords": [[0.000, 0.000, 0.000], [0.500, 0.500, 0.500], [0.000, 0.000, 0.500], [0.000, 0.500, 0.000], [0.500, 0.000, 0.000]]
}

=====

Values of M_tot, in order: 3.7 0.0 0.2 5.8, all in μB/f.u..
Values of uncorrected energy, in order: -22.62 -26.95 -30.47 -25.01, all in eV for the cell shown.